Here is crystalline MgCoAgB at its relaxed geometry from OQMD. Energies are from PBE.

Lattice parameters (Å, degrees): 4.126 4.126 4.126 60.00 60.00 60.00
Positions (direct):
Mg  0.500  0.500  0.500
B  0.000  0.000  0.000
Ag  0.250  0.250  0.250
Co  0.750  0.750  0.750

Properties
The calculation puts the raw total energy at -3.96 eV per atom. As for the space-group type: F-43m, No. 216.